A geometry-optimized Pr2Nd2Sb3 structure, computed with PBE.

Computed properties:
DOS(E_F) ... 7.13 states/eV/f.u.

```
14
Lattice="-4.777 4.777 4.777 4.777 -4.777 4.777 4.777 4.777 -4.777" Properties=species:S:1:pos:R:3 pbc="T T T"
Pr 4.099 0.678 -0.678
Pr 0.678 0.678 0.678
Pr 0.678 -0.678 4.099
Pr -0.678 4.099 0.678
Nd 6.496 -1.720 1.720
Nd 1.720 6.496 -1.720
Nd 3.057 3.057 3.057
Nd -1.720 1.720 6.496
Sb 7.165 1.179 0.000
Sb 3.598 0.000 2.388
Sb 2.388 3.598 0.000
Sb 0.000 2.388 3.598
Sb 1.179 0.000 7.165
Sb 0.000 7.165 1.179
```

=====

A geometry-optimized PrNdSb structure, computed with PBE.

Computed properties:
DOS(E_F) ... 3.53 states/eV/f.u.

```
3
Lattice="5.071 0.000 0.000 -2.536 4.392 0.000 0.000 0.000 4.472" Properties=species:S:1:pos:R:3 pbc="T T T"
Pr 0.000 0.000 0.000
Nd 0.000 2.928 2.061
Sb 2.536 1.464 3.219
```

=====

A geometry-optimized PrNdSb structure, computed with PBE.

Computed properties:
DOS(E_F) ... 2.99 states/eV/f.u.

```
6
Lattice="4.200 0.000 0.000 0.000 4.200 0.000 0.000 0.000 10.229" Properties=species:S:1:pos:R:3 pbc="T T T"
Pr 1.050 1.050 1.002
Pr 3.150 3.150 9.227
Nd 1.050 1.050 4.125
Nd 3.150 3.150 6.104
Sb 1.050 1.050 7.641
Sb 3.150 3.150 2.588
```

=====

A geometry-optimized PrNd2Sb3 structure, computed with PBE.

Computed properties:
DOS(E_F) ... 1.20 states/eV/f.u.

```
6
Lattice="-2.270 3.205 6.802 2.270 -3.205 6.802 2.270 3.205 -6.802" Properties=species:S:1:pos:R:3 pbc="T T T"
Pr 0.000 0.000 0.000
Nd 0.000 0.000 4.538
Nd 0.000 0.000 9.067
Sb 2.270 0.000 2.282
Sb 0.000 3.205 0.000
Sb 0.000 3.205 4.520
```

=====

| no. | raw formation energy (meV/atom) |
| --- | --- |
| 1 | -1065 |
| 2 | -462 |
| 3 | -690 |
| 4 | -1190 |